# 1
Below is a relaxed structure of Mg3TaSi, with properties calculated at the GGA-PBE level.

Cell lengths 4.8780, 4.8780, 4.8780 Å; angles 90.00, 90.00, 90.00 degrees
Closest atoms and distances in Å follow each position.
Fractional positions:
Mg 0.0000 0.0000 0.5000  2 Si 2.44
Mg 0.0000 0.5000 0.0000  2 Si 2.44
Mg 0.5000 0.0000 0.0000  2 Si 2.44
Ta 0.5000 0.5000 0.5000  12 Mg 3.45
Si 0.0000 0.0000 0.0000  6 Mg 2.44

Output
relative energy among the computed polymorphs = 0 meV/atom
energy relative to the elements, uncorrected = 1.011 eV/atom
symmetry = Pm-3m (221)

# 2
Below is a relaxed structure of MgTaSi4, with properties calculated at the GGA-PBE level.

Cell lengths 4.9976, 4.9976, 4.9976 Å; angles 60.00, 60.00, 60.00 degrees
Closest atoms and distances in Å follow each position.
Fractional positions:
Mg 0.0000 0.0000 0.0000  12 Si 2.93, 4 Ta 3.06
Ta 0.2500 0.2500 0.2500  12 Si 2.93, 4 Mg 3.06
Si 0.1288 0.6237 0.6237  6 Si 2.47-2.52
Si 0.6237 0.1288 0.6237  6 Si 2.47-2.52
Si 0.6237 0.6237 0.1288  6 Si 2.47-2.52
Si 0.6237 0.6237 0.6237  6 Si 2.47-2.52

Output
energy relative to the elements, uncorrected = 0.200 eV/atom
symmetry = F-43m (216)

# 3
Below is a relaxed structure of Mg3TaSi, with properties calculated at the GGA-PBE level.

Cell lengths 5.3453, 5.3453, 5.3453 Å; angles 90.00, 90.00, 90.00 degrees
Closest atoms and distances in Å follow each position.
Fractional positions:
Mg 0.0000 0.0000 0.5000  2 Ta 2.67
Mg 0.0000 0.5000 0.0000  2 Ta 2.67
Mg 0.5000 0.0000 0.0000  2 Ta 2.67
Ta 0.0000 0.0000 0.0000  6 Mg 2.67
Si 0.5000 0.5000 0.5000  12 Mg 3.78

Output
relative energy among the computed polymorphs = 587 meV/atom
energy relative to the elements, uncorrected = 1.597 eV/atom
symmetry = Pm-3m (221)

# 4
Below is a relaxed structure of MgTaTi2Si, with properties calculated at the GGA-PBE level.

Cell lengths 4.7303, 4.7303, 5.2155 Å; angles 90.00, 90.00, 90.00 degrees
Closest atoms and distances in Å follow each position.
Fractional positions:
Mg 0.0000 0.0000 0.0000  2 Ta 2.61
Ta 0.0000 0.0000 0.5000  4 Ti 2.37, 2 Mg 2.61
Ti 0.0000 0.5000 0.5000  2 Ta 2.37
Ti 0.5000 0.0000 0.5000  2 Ta 2.37
Si 0.5000 0.5000 0.0000  4 Mg 3.34, 8 Ti 3.52

Output
energy relative to the elements, uncorrected = 1.248 eV/atom
symmetry = P4/mmm (123)

# 5
Below is a relaxed structure of MgTa2TlSi, with properties calculated at the GGA-PBE level.

Cell lengths 4.9118, 4.9118, 4.5302 Å; angles 90.00, 90.00, 90.00 degrees
Closest atoms and distances in Å follow each position.
Fractional positions:
Mg 0.0000 0.0000 0.0000  2 Si 2.27, 4 Ta 2.46
Ta 0.0000 0.5000 0.0000  2 Mg 2.46
Ta 0.5000 0.0000 0.0000  2 Mg 2.46
Tl 0.5000 0.5000 0.5000  8 Ta 3.34, 4 Si 3.47
Si 0.0000 0.0000 0.5000  2 Mg 2.27

Output
energy relative to the elements, uncorrected = 1.734 eV/atom
symmetry = P4/mmm (123)

# 6
Below is a relaxed structure of Y2MgTaSi, with properties calculated at the GGA-PBE level.

Cell lengths 5.3521, 5.3521, 4.8224 Å; angles 90.00, 90.00, 90.00 degrees
Closest atoms and distances in Å follow each position.
Fractional positions:
Y 0.0000 0.5000 0.0000  2 Si 2.68
Y 0.5000 0.0000 0.0000  2 Si 2.68
Mg 0.0000 0.0000 0.5000  8 Y 3.60, 4 Ta 3.78
Ta 0.5000 0.5000 0.5000  2 Si 2.41
Si 0.5000 0.5000 0.0000  2 Ta 2.41, 4 Y 2.68

Output
energy relative to the elements, uncorrected = 0.215 eV/atom
symmetry = P4/mmm (123)

# 7
Below is a relaxed structure of Tb2MgSi, with properties calculated at the GGA-PBE level.

Cell lengths 3.9718, 3.9718, 30.1211 Å; angles 90.00, 90.00, 120.00 degrees
Closest atoms and distances in Å follow each position.
Fractional positions:
Tb 0.0000 0.0000 0.1138  3 Si 2.79
Tb 0.0000 0.0000 0.8862  3 Si 2.79
Tb 0.3333 0.6667 0.5528  3 Si 2.79
Tb 0.3333 0.6667 0.7805  3 Si 2.79
Tb 0.6667 0.3333 0.2195  3 Si 2.79
Tb 0.6667 0.3333 0.4472  3 Si 2.79
Mg 0.0000 0.0000 0.0000  2 Tb 3.43
Mg 0.3333 0.6667 0.6667  2 Tb 3.43
Mg 0.6667 0.3333 0.3333  2 Tb 3.43
Si 0.0000 0.0000 0.5000  6 Tb 2.79
Si 0.3333 0.6667 0.1667  6 Tb 2.79
Si 0.6667 0.3333 0.8333  6 Tb 2.79

Output
energy relative to the elements, uncorrected = 0.026 eV/atom
symmetry = R-3m (166)

# 8
Below is a relaxed structure of TbMgSi4, with properties calculated at the GGA-PBE level.

Cell lengths 5.2675, 5.2675, 5.2675 Å; angles 60.00, 60.00, 60.00 degrees
Closest atoms and distances in Å follow each position.
Fractional positions:
Tb 0.0000 0.0000 0.0000  12 Si 3.09, 4 Mg 3.23
Mg 0.7500 0.7500 0.7500  12 Si 3.08, 4 Tb 3.23
Si 0.3770 0.3770 0.3770  6 Si 2.59-2.67
Si 0.3770 0.3770 0.8691  6 Si 2.59-2.67
Si 0.3770 0.8691 0.3770  6 Si 2.59-2.67
Si 0.8691 0.3770 0.3770  6 Si 2.59-2.67

Output
energy relative to the elements, uncorrected = -0.180 eV/atom
symmetry = F-43m (216)

Which value of energy relative to the elements, uncorrected does entry 1 give?
1.011 eV/atom

Number 2 is which compound?
MgTaSi4